[1]
Ac8NiRh3Cl4 | the Alexandria database | PBE | optimized geometry; space-group type = No. 12; V = 32.275 Å³ per atom; formation energy without anion corrections = -18.879 eV/f.u.
1.0
8.6293 0.0000 0.0000
0.0000 9.4218 0.5485
-4.3146 -4.3145 6.1004
Cl Ni Ac Rh
4 1 8 3
direct
0.0000 0.0000 0.0000
0.0000 0.0000 0.5000
0.5000 0.0000 0.5000
0.5000 0.0000 0.0000
0.0000 0.5000 0.0000
0.7348 0.7037 0.4695
0.2652 0.2963 0.5305
0.2330 0.7011 0.4661
0.2330 0.7010 0.9686
0.7356 0.7010 0.9686
0.7670 0.2989 0.5339
0.7670 0.2990 0.0314
0.2644 0.2990 0.0314
0.5000 0.5000 0.5000
0.5000 0.5000 0.0000
0.0000 0.5000 0.5000

=====

[2]
Ba2Cd3InHg12 | the Alexandria database | PBE | optimized geometry; space-group type = No. 166; V = 29.974 Å³ per atom; formation enthalpy at 0 K = -0.148 eV per atom
1.0
12.5978 3.2611 2.3131
9.0572 9.3438 2.3131
9.0572 5.2720 8.0538
Hg Ba Cd In
12 2 3 1
direct
0.8772 0.4113 0.8772
0.8772 0.8772 0.4113
0.5939 0.1534 0.5939
0.5939 0.5939 0.1534
0.5887 0.1228 0.1228
0.8466 0.4061 0.4061
0.1228 0.5887 0.1228
0.4061 0.8466 0.4061
0.4113 0.8772 0.8772
0.1534 0.5939 0.5939
0.1228 0.1228 0.5887
0.4061 0.4061 0.8466
0.3628 0.3628 0.3628
0.6372 0.6372 0.6372
0.5000 0.0000 0.0000
0.0000 0.5000 0.0000
0.0000 0.0000 0.5000
0.0000 0.0000 0.0000

=====

[3]
CuReSb2 | the Alexandria database | PBE | optimized geometry; space-group type = No. 35; E above lowest polymorph = 0.294 eV/atom; V = 21.014 Å³ per atom; formation energy without anion corrections = 2.462 eV/f.u.
1.0
3.0420 0.0351 0.0000
-1.1813 2.8035 0.0000
0.0000 0.0000 9.8085
Sb Cu Re
2 1 1
direct
0.0000 0.0000 0.9368
0.5000 0.5000 0.3155
0.0000 0.0000 0.5253
0.5000 0.5000 0.7224

=====

[4]
NiBiSN2 | the Alexandria database | PBE | optimized geometry; space-group type = No. 123; E above lowest polymorph = 0.891 eV/atom; V = 19.564 Å³ per atom; formation energy without anion corrections = 9.579 eV/f.u.
1.0
4.2472 0.0000 0.0000
0.0000 4.2472 0.0000
0.0000 0.0000 5.4228
Ni Bi N S
1 1 2 1
direct
0.5000 0.5000 0.5000
0.0000 0.0000 0.0000
0.5000 0.0000 0.0000
0.0000 0.5000 0.0000
0.0000 0.0000 0.5000

=====

[5]
AlCrSb2 | the Alexandria database | PBE | optimized geometry; space-group type = No. 99; V = 20.742 Å³ per atom; formation energy without anion corrections = 0.654 eV/f.u.
1.0
-1.6966 -0.0703 -2.7403
1.3168 -2.8474 -0.7422
-5.9539 -3.7392 3.7822
Sb Al Cr
2 1 1
direct
0.5000 0.5000 0.3131
0.0000 0.0000 0.9181
0.0000 0.0000 0.5579
0.5000 0.5000 0.7109

=====

[6]
LiIn2Mo | the Alexandria database | PBE | optimized geometry; space-group type = No. 35; E above lowest polymorph = 0.251 eV/atom; V = 19.749 Å³ per atom; formation enthalpy at 0 K = 0.343 eV per atom
1.0
2.9026 0.1666 0.0000
-0.2671 2.8951 0.0000
0.0000 0.0000 9.3510
In Mo Li
2 1 1
direct
0.5000 0.5000 0.2718
0.0000 0.0000 0.9722
0.5000 0.5000 0.7402
0.0000 0.0000 0.5159

=====

Please write out number 2 again, unchanged.
Ba2Cd3InHg12 | the Alexandria database | PBE | optimized geometry; space-group type = No. 166; V = 29.974 Å³ per atom; formation enthalpy at 0 K = -0.148 eV per atom
1.0
12.5978 3.2611 2.3131
9.0572 9.3438 2.3131
9.0572 5.2720 8.0538
Hg Ba Cd In
12 2 3 1
direct
0.8772 0.4113 0.8772
0.8772 0.8772 0.4113
0.5939 0.1534 0.5939
0.5939 0.5939 0.1534
0.5887 0.1228 0.1228
0.8466 0.4061 0.4061
0.1228 0.5887 0.1228
0.4061 0.8466 0.4061
0.4113 0.8772 0.8772
0.1534 0.5939 0.5939
0.1228 0.1228 0.5887
0.4061 0.4061 0.8466
0.3628 0.3628 0.3628
0.6372 0.6372 0.6372
0.5000 0.0000 0.0000
0.0000 0.5000 0.0000
0.0000 0.0000 0.5000
0.0000 0.0000 0.0000